Arrangement P

Below is an optimized crystal structure of HoTmAl, with properties calculated at the GGA-PBE level.

```
data_HoTmAl
_chemical_formula_sum 'Ho4 Tm4 Al4'
_cell_length_a 7.125
_cell_length_b 7.125
_cell_length_c 7.125
_cell_angle_alpha 90.00
_cell_angle_beta 90.00
_cell_angle_gamma 90.00
_space_group_name_H-M_alt 'F -4 3 m'
_space_group_IT_number 216
_space_group_name_Hall 'F -4 2 3'
loop_
_atom_site_label
_atom_site_fract_x
_atom_site_fract_y
_atom_site_fract_z
_atom_site_occupancy
Ho1 0.000 0.000 0.000 1
Tm1 0.250 0.250 0.750 1
Al1 0.250 0.250 0.250 1
```

Computed properties:
crystal system: cubic
calculated volume: 30.14 A^3/atom
M_tot: 0.01 μB per formula unit
ρ: 6627 kg/m³

=====

Arrangement Q

Below is an optimized crystal structure of HoTmAl, with properties calculated at the GGA-PBE level.

```
data_HoTmAl
_chemical_formula_sum 'Ho4 Tm4 Al4'
_cell_length_a 6.500
_cell_length_b 5.049
_cell_length_c 9.363
_cell_angle_alpha 90.00
_cell_angle_beta 90.00
_cell_angle_gamma 90.00
_space_group_name_H-M_alt 'P n m a'
_space_group_IT_number 62
loop_
_space_group_symop_operation_xyz
'x,y,z'
'-x,-y,-z'
'-x+1/2,-y,z+1/2'
'x+1/2,y,-z+1/2'
'x+1/2,-y+1/2,-z+1/2'
'-x+1/2,y+1/2,z+1/2'
'-x,y+1/2,-z'
'x,-y+1/2,z'
loop_
_atom_site_label
_atom_site_fract_x
_atom_site_fract_y
_atom_site_fract_z
_atom_site_occupancy
Ho1 0.186 0.250 0.072 1
Tm1 0.028 0.250 0.711 1
Al1 0.207 0.250 0.396 1
```

Computed properties:
crystal system: orthorhombic
calculated volume: 25.61 A^3/atom
M_tot: 0.01 μB per formula unit
ρ: 7799 kg/m³

=====

So which one wins? Going from most stable to least: arrangement Q, arrangement P.